# 1
The following is a GGA-PBE calculation of a geometry-optimized Ag8PdPt2 structure, from Alexandria via LeMat-Bulk.

Geometry as POSCAR:
```
Ag8PdPt2
1.0
6.0969 -3.7287 0.0000
6.0969 3.7287 0.0000
-1.0237 0.0000 4.7095
Ag Pd Pt
8 1 2
Direct
0.1186 0.7451 0.7140
0.1500 0.1500 0.8293
0.2549 0.8814 0.2860
0.2737 0.2737 0.3957
0.7263 0.7263 0.6043
0.7451 0.1186 0.7140
0.8500 0.8500 0.1707
0.8814 0.2549 0.2860
0.5000 0.5000 0.5000
0.3865 0.3865 0.9590
0.6135 0.6135 0.0410
```

Output
SG: No. 12
Density of states at the Fermi level: 3.876 states/eV/cell
Relative energy among the computed polymorphs: 0 meV/atom
Energy: -3.454 eV/atom
M_tot: 0.00 μB/f.u.

# 2
The following is a GGA-PBE calculation of a geometry-optimized Ag6Pd5Pt structure, from Alexandria via LeMat-Bulk.

Geometry as POSCAR:
```
Ag6Pd5Pt
1.0
4.5702 -6.0161 0.0000
4.5702 6.0161 0.0000
-1.7513 0.0000 3.6086
Ag Pd Pt
6 5 1
Direct
0.0823 0.4160 0.7491
0.2482 0.2482 0.2481
0.4160 0.0823 0.7491
0.5840 0.9177 0.2509
0.7518 0.7518 0.7519
0.9177 0.5840 0.2509
0.0000 0.0000 0.5000
0.1677 0.8323 0.0000
0.3354 0.6646 0.5000
0.6646 0.3354 0.5000
0.8323 0.1677 0.0000
0.5000 0.5000 0.0000
```

Output
SG: No. 12
Density of states at the Fermi level: 4.795 states/eV/cell
Energy: -4.103 eV/atom
M_tot: 0.00 μB/f.u.

# 3
The following is a GGA-PBE calculation of a geometry-optimized Ag4Pd7Pt structure, from Alexandria via LeMat-Bulk.

Geometry as POSCAR:
```
Ag4Pd7Pt
1.0
4.9044 0.0000 0.0000
-0.0024 5.6516 0.0000
-1.6248 -0.0240 7.0042
Ag Pd Pt
4 7 1
Direct
0.2169 0.2480 0.1658
0.2761 0.0019 0.8317
0.7239 0.9981 0.1683
0.7831 0.7520 0.8342
0.0017 0.7457 0.4976
0.2249 0.7417 0.1719
0.2844 0.5015 0.8320
0.5000 0.0000 0.5000
0.7156 0.4985 0.1680
0.7751 0.2583 0.8281
0.9983 0.2543 0.5024
0.5000 0.5000 0.5000
```

Output
SG: No. 2
Density of states at the Fermi level: 16.480 states/eV/cell
Energy: -4.488 eV/atom
M_tot: 0.00 μB/f.u.

# 4
The following is a GGA-PBE calculation of a geometry-optimized Ag2Pd4Pt5 structure, from Alexandria via LeMat-Bulk.

Geometry as POSCAR:
```
Ag2Pd4Pt5
1.0
9.2037 -1.3794 0.0000
9.2037 1.3794 0.0000
-0.8299 0.0000 6.9729
Ag Pd Pt
2 4 5
Direct
0.0996 0.0996 0.1958
0.9004 0.9004 0.8042
0.3144 0.3144 0.0556
0.4617 0.4617 0.1539
0.5383 0.5383 0.8461
0.6856 0.6856 0.9444
0.0000 0.0000 0.5000
0.2603 0.2603 0.6756
0.3707 0.3707 0.4350
0.6293 0.6293 0.5650
0.7397 0.7397 0.3244
```

Output
SG: No. 12
Density of states at the Fermi level: 15.803 states/eV/cell
Energy: -5.140 eV/atom
M_tot: 0.00 μB/f.u.

Q: Among the records above, which one has the lowest density of states at the Fermi level?
A: Ag8PdPt2

Q: energy of number 2 (Ag6Pd5Pt)?
A: -4.103 eV/atom